Entry 1:
Below is an optimized crystal structure of MnAl2Ag, with properties calculated at the PBE level.

Values from the calculation:
Spin magnetization, μB/atom: 0.51
DFT formation energy, kJ/mol of atoms: -15.4
ρ, g/cm3: 6.1
V, Å³ per atom: 14.85
Distance to the lowest polymorph of the same formula, eV per atom: 0.000

Unit cell a=2.8129 b=2.8129 c=7.5050 alpha=90.00 beta=90.00 gamma=90.00
Closest atoms and distances in Å follow each position.
Sites, in units of the cell vectors:
Mn 0.5000 0.5000 0.2500  8 Al 2.58, 4 Mn 2.81
Al 0.0000 0.0000 0.0308  4 Mn 2.58, 4 Al 2.81
Al 0.0000 0.0000 0.4692  4 Mn 2.58, 4 Al 2.81
Ag 0.5000 0.5000 0.7500  4 Ag 2.81, 8 Al 2.90

***

Entry 2:
Below is an optimized crystal structure of LiZr2Cd2, with properties calculated at the PBE level.

Values from the calculation:
Spin magnetization, μB/atom: 0.00
DFT formation energy, kJ/mol of atoms: 12.7
ρ, g/cm3: 5.8
V, Å³ per atom: 23.69
Distance to the lowest polymorph of the same formula, eV per atom: 0.000

Unit cell a=8.9565 b=8.9565 c=2.9528 alpha=90.00 beta=90.00 gamma=90.00
Closest atoms and distances in Å follow each position.
Sites, in units of the cell vectors:
Li 0.0000 0.0000 0.0000  2 Li 2.95
Li 0.5000 0.5000 0.0000  2 Li 2.95
Zr 0.3790 0.8790 0.0000  3 Zr 2.95-3.07, 6 Cd 2.98-3.07
Zr 0.8790 0.6210 0.0000  3 Zr 2.95-3.07, 6 Cd 2.98-3.07
Zr 0.6210 0.1210 0.0000  3 Zr 2.95-3.07, 6 Cd 2.98-3.07
Zr 0.1210 0.3790 0.0000  3 Zr 2.95-3.07, 6 Cd 2.98-3.07
Cd 0.1744 0.6744 0.5000  2 Cd 2.95, 6 Zr 2.98-3.07
Cd 0.6744 0.8256 0.5000  2 Cd 2.95, 6 Zr 2.98-3.07
Cd 0.8256 0.3256 0.5000  2 Cd 2.95, 6 Zr 2.98-3.07
Cd 0.3256 0.1744 0.5000  2 Cd 2.95, 6 Zr 2.98-3.07

***

Entry 3:
Below is an optimized crystal structure of YTcHg2, with properties calculated at the PBE level.

Values from the calculation:
Spin magnetization, μB/atom: 0.00
DFT formation energy, kJ/mol of atoms: 14.4
ρ, g/cm3: 11.4
V, Å³ per atom: 21.40
Distance to the lowest polymorph of the same formula, eV per atom: 0.087

Unit cell a=3.6590 b=3.7105 c=6.3061 alpha=90.00 beta=90.00 gamma=90.00
Closest atoms and distances in Å follow each position.
Sites, in units of the cell vectors:
Hg 0.0000 0.0000 0.0144  2 Tc 2.99-3.32, 4 Hg 3.06, 4 Y 3.16
Hg 0.5000 0.5000 0.2675  1 Y 2.92, 4 Tc 2.95, 4 Hg 3.06
Tc 0.0000 0.0000 0.4881  5 Hg 2.95-2.99, 4 Y 3.02
Y 0.5000 0.5000 0.7300  5 Hg 2.92-3.16, 4 Tc 3.02

***

| no. | final energy (eV/atom) |
| --- | --- |
| 1 | -5.0364 |
| 2 | -4.0369 |
| 3 | -4.2095 |